# 1
! Ac4CoSiI2, optimized geometry, DFT GGA-PBE; values from VASP
! - mass density (kg/m3) = 7101
! - total DFT energy (no corrections) (eV per atom) = -4.727
! - total magnetic moment (Bohr magnetons per cell) = 0.00
! - D(E_F) (states/eV/f.u.) = 5.3
&SYSTEM
  ibrav = 0, nat = 8, ntyp = 4
/
ATOMIC_SPECIES
Ac 227.00 Ac.upf
Co 58.93 Co.upf
Si 28.09 Si.upf
I 126.90 I.upf
ATOMIC_POSITIONS crystal
Ac 0.500 0.253 0.186
Ac 0.500 0.747 0.814
Ac 0.000 0.286 0.814
Ac 0.000 0.714 0.186
Co 0.500 0.500 0.000
Si 0.000 0.000 0.000
I 0.500 0.000 0.500
I 0.000 0.500 0.500
CELL_PARAMETERS angstrom
4.374 0.000 0.000
0.000 7.936 0.295
0.000 -2.658 8.314

***

# 2
! TbHo12Tm6, optimized geometry, DFT GGA-PBE; values from VASP
! - mass density (kg/m3) = 8227
! - total magnetic moment (Bohr magnetons per cell) = 0.00
! - D(E_F) (states/eV/f.u.) = 25.1
! - offset from the most stable computed form (meV/atom) = 287
&SYSTEM
  ibrav = 0, nat = 19, ntyp = 3
/
ATOMIC_SPECIES
Tb 158.93 Tb.upf
Ho 164.93 Ho.upf
Tm 168.93 Tm.upf
ATOMIC_POSITIONS crystal
Tb 0.000 0.000 0.000
Ho 0.889 0.111 0.500
Ho 0.360 0.140 0.360
Ho 0.360 0.360 0.140
Ho 0.860 0.640 0.640
Ho 0.640 0.640 0.860
Ho 0.640 0.860 0.640
Ho 0.500 0.889 0.111
Ho 0.111 0.500 0.889
Ho 0.111 0.889 0.500
Ho 0.500 0.111 0.889
Ho 0.889 0.500 0.111
Ho 0.140 0.360 0.360
Tm 0.686 0.269 0.686
Tm 0.686 0.686 0.269
Tm 0.269 0.686 0.686
Tm 0.314 0.314 0.731
Tm 0.314 0.731 0.314
Tm 0.731 0.314 0.314
CELL_PARAMETERS angstrom
8.841 -0.429 -2.539
-3.255 8.231 -2.539
-0.307 -0.429 9.193

***

# 3
! MgSb3Pb, optimized geometry, DFT GGA-PBE; values from VASP
! - mass density (kg/m3) = 6228
! - total magnetic moment (Bohr magnetons per cell) = 0.00
! - D(E_F) (states/eV/f.u.) = 4.2
! - offset from the most stable computed form (meV/atom) = 0
&SYSTEM
  ibrav = 0, nat = 5, ntyp = 3
/
ATOMIC_SPECIES
Pb 207.20 Pb.upf
Sb 121.76 Sb.upf
Mg 24.30 Mg.upf
ATOMIC_POSITIONS crystal
Pb 0.500 0.500 0.500
Sb 0.000 0.500 0.000
Sb 0.000 0.000 0.500
Sb 0.500 0.000 0.000
Mg 0.000 0.000 0.000
CELL_PARAMETERS angstrom
-2.726 3.189 3.429
-1.152 -4.303 3.086
4.539 0.823 2.843

***

# 4
! CaEr2OsO8, optimized geometry, DFT GGA-PBE; values from VASP
! - mass density (kg/m3) = 6730
! - total DFT energy (no corrections) (eV per atom) = -7.511
! - total magnetic moment (Bohr magnetons per cell) = 0.00
&SYSTEM
  ibrav = 0, nat = 12, ntyp = 4
/
ATOMIC_SPECIES
Ca 40.08 Ca.upf
Er 167.26 Er.upf
Os 190.23 Os.upf
O 16.00 O.upf
ATOMIC_POSITIONS crystal
Ca 0.000 0.000 0.500
Er 0.500 0.500 0.742
Er 0.500 0.500 0.258
Os 0.000 0.000 0.000
O 0.184 0.816 0.196
O 0.731 0.731 0.000
O 0.816 0.184 0.196
O 0.816 0.184 0.804
O 0.269 0.269 0.000
O 0.184 0.816 0.804
O 0.688 0.688 0.500
O 0.312 0.312 0.500
CELL_PARAMETERS angstrom
-4.444 -2.300 0.092
1.536 -3.055 -3.650
2.368 -4.386 4.667

***

- What is the formula in the fourth record?
  CaEr2OsO8

***

- What is the mass density in the third record?
  6228 kg/m3

***

- Look up the mass density of the third one.
  6228 kg/m3

***

- The lowest mass density belongs to which entry?
  MgSb3Pb